! ReHg2P (PBE, relaxed); values from VASP
&SYSTEM
  ibrav = 0, nat = 4, ntyp = 3
/
ATOMIC_SPECIES
Re 186.21 Re.upf
Hg 200.59 Hg.upf
P 30.97 P.upf
ATOMIC_POSITIONS crystal
Re 0.0000 0.0000 0.0000
Hg 0.4976 0.5000 0.5781
Hg 0.5041 0.0000 0.2817
P 0.4987 0.5000 0.8819
CELL_PARAMETERS angstrom
3.0049 0.0000 0.0000
0.0000 3.1407 0.0000
-0.0385 0.0000 8.6623
! * DFT total energy: -4.42 eV/atom
! * energy of formation from the pure elements: 200 meV/atom
! * DOS(E_F): 2.01 states/eV/f.u.

---

! SiNi2Os (PBE, relaxed); values from VASP
&SYSTEM
  ibrav = 0, nat = 4, ntyp = 3
/
ATOMIC_SPECIES
Si 28.09 Si.upf
Ni 58.69 Ni.upf
Os 190.23 Os.upf
ATOMIC_POSITIONS crystal
Si 0.0000 0.0000 0.0000
Ni 0.0000 0.5000 0.5000
Ni 0.5000 0.0000 0.5000
Os 0.5000 0.5000 0.0000
CELL_PARAMETERS angstrom
2.4860 -3.7278 0.0000
2.4860 3.7278 0.0000
0.0000 0.0000 2.6215
! * DFT total energy: -7.16 eV/atom
! * E_form (uncorrected): -0.42 eV per formula unit
! * DOS(E_F): 3.42 states/eV/f.u.

---

! Rb2Tl2Hg3 (PBE, relaxed); values from VASP
&SYSTEM
  ibrav = 0, nat = 7, ntyp = 3
/
ATOMIC_SPECIES
Rb 85.47 Rb.upf
Tl 204.38 Tl.upf
Hg 200.59 Hg.upf
ATOMIC_POSITIONS crystal
Rb 0.2424 0.2424 0.1669
Rb 0.7576 0.7576 0.8331
Tl 0.3335 0.3335 0.6168
Tl 0.6665 0.6665 0.3832
Hg 0.0194 0.0194 0.6745
Hg 0.5000 0.5000 0.0000
Hg 0.9806 0.9806 0.3255
CELL_PARAMETERS angstrom
5.2363 -2.9369 0.0000
5.2363 2.9369 0.0000
-4.7270 0.0000 8.1946
! * DFT total energy: -1.22 eV/atom
! * energy of formation from the pure elements: -135 meV/atom
! * DOS(E_F): 3.94 states/eV/f.u.
! * E above lowest polymorph: 0.25 kcal/mol of atoms

---

! Tb4IrPd3 (PBE, relaxed); values from VASP
&SYSTEM
  ibrav = 0, nat = 8, ntyp = 3
/
ATOMIC_SPECIES
Tb 158.93 Tb.upf
Ir 192.22 Ir.upf
Pd 106.42 Pd.upf
ATOMIC_POSITIONS crystal
Tb 0.0000 0.0000 0.0000
Tb 0.0000 0.5000 0.2675
Tb 0.5000 0.0000 0.4841
Tb 0.5000 0.5000 0.7672
Ir 0.5000 0.0000 0.2171
Pd 0.0000 0.0000 0.7164
Pd 0.0000 0.5000 0.5474
Pd 0.5000 0.5000 0.0410
CELL_PARAMETERS angstrom
3.7522 0.0000 0.0000
0.0000 4.5227 0.0000
0.0000 0.0000 10.5686
! * DFT total energy: -6.26 eV/atom
! * energy of formation from the pure elements: -887 meV/atom
! * DOS(E_F): 5.39 states/eV/f.u.

---

! DyNp3Ag3Se8 (PBE, relaxed); values from VASP
&SYSTEM
  ibrav = 0, nat = 15, ntyp = 4
/
ATOMIC_SPECIES
Dy 162.50 Dy.upf
Np 237.00 Np.upf
Ag 107.87 Ag.upf
Se 78.96 Se.upf
ATOMIC_POSITIONS crystal
Dy 0.0000 0.0000 0.0000
Np 0.0000 0.5000 0.5000
Np 0.5000 0.0000 0.5000
Np 0.5000 0.5000 0.0000
Ag 0.0000 0.0000 0.5000
Ag 0.0000 0.5000 0.0000
Ag 0.5000 0.0000 0.0000
Se 0.2493 0.2493 0.2536
Se 0.2493 0.7474 0.7516
Se 0.2506 0.2506 0.7486
Se 0.2526 0.7507 0.2484
Se 0.7474 0.2493 0.7516
Se 0.7494 0.7494 0.2514
Se 0.7507 0.2526 0.2484
Se 0.7507 0.7507 0.7464
CELL_PARAMETERS angstrom
6.7400 -4.2053 0.0000
6.7400 4.2053 0.0000
-4.1354 0.0000 6.8001
! * DFT total energy: -6.23 eV/atom
! * E_form (uncorrected): -13.52 eV per formula unit
! * DOS(E_F): 30.51 states/eV/f.u.

---

! Ac3SbAs (PBE, relaxed); values from VASP
&SYSTEM
  ibrav = 0, nat = 5, ntyp = 3
/
ATOMIC_SPECIES
Ac 227.00 Ac.upf
Sb 121.76 Sb.upf
As 74.92 As.upf
ATOMIC_POSITIONS crystal
Ac 0.0000 0.0000 0.5000
Ac 0.0000 0.5000 0.0000
Ac 0.5000 0.0000 0.0000
Sb 0.5000 0.5000 0.5000
As 0.0000 0.0000 0.0000
CELL_PARAMETERS angstrom
5.9024 0.0000 0.0000
0.0000 5.9024 0.0000
0.0000 0.0000 5.9024
! * DFT total energy: -4.76 eV/atom
! * E_form (uncorrected): -2.73 eV per formula unit
! * DOS(E_F): 4.78 states/eV/f.u.